[1]
# TiMnFeRu2 (GGA-PBE, optimized geometry)
data_TiMnFeRu2
_space_group_name_H-M_alt 'P 4/m m m'
_space_group_IT_number 123
_space_group_name_Hall '-P 4 2'
_cell_length_a 4.3721
_cell_length_b 4.3721
_cell_length_c 4.3282
_cell_angle_alpha 90.00
_cell_angle_beta 90.00
_cell_angle_gamma 90.00
loop_
_atom_site_label
_atom_site_type_symbol
_atom_site_fract_x
_atom_site_fract_y
_atom_site_fract_z
Ti1 Ti 0.0000 0.0000 0.0000
Mn1 Mn 0.5000 0.5000 0.0000
Fe1 Fe 0.5000 0.5000 0.5000
Ru1 Ru 0.0000 0.5000 0.5000
# uncorrected energy: -7.926 eV/atom
# total moment: 3.0 μB/f.u.

***

[2]
# Li2Sm2ThPb2 (GGA-PBE, optimized geometry)
data_Li2Sm2ThPb2
_space_group_name_H-M_alt 'R -3 m'
_space_group_IT_number 166
_space_group_name_Hall '-R 3 2"'
_cell_length_a 4.9101
_cell_length_b 4.9101
_cell_length_c 27.3531
_cell_angle_alpha 90.00
_cell_angle_beta 90.00
_cell_angle_gamma 120.00
loop_
_atom_site_label
_atom_site_type_symbol
_atom_site_fract_x
_atom_site_fract_y
_atom_site_fract_z
Li1 Li 0.0000 0.0000 0.0935
Sm1 Sm 0.0000 0.0000 0.3712
Th1 Th 0.0000 0.0000 0.5000
Pb1 Pb 0.0000 0.0000 0.2353
# uncorrected energy: -4.263 eV/atom
# total moment: 0.0 μB/f.u.

***

[3]
# Ca3Cd4Ga4 (GGA-PBE, optimized geometry)
data_Ca3Cd4Ga4
_space_group_name_H-M_alt 'P -1'
_space_group_IT_number 2
_cell_length_a 3.7710
_cell_length_b 4.7434
_cell_length_c 14.7238
_cell_angle_alpha 80.80
_cell_angle_beta 82.75
_cell_angle_gamma 89.96
loop_
_space_group_symop_operation_xyz
'x,y,z'
'-x,-y,-z'
loop_
_atom_site_label
_atom_site_type_symbol
_atom_site_fract_x
_atom_site_fract_y
_atom_site_fract_z
Ca1 Ca 0.0000 0.0000 0.0000
Ca2 Ca 0.1428 0.6415 0.7157
Cd1 Cd 0.2596 0.2607 0.4789
Cd2 Cd 0.4100 0.9087 0.1835
Ga1 Ga 0.3158 0.8155 0.3700
Ga2 Ga 0.4567 0.4550 0.0904
# uncorrected energy: -2.319 eV/atom
# total moment: 0.0 μB/f.u.

***

[4]
# BaCuPd2O4 (GGA-PBE, optimized geometry)
data_BaCuPd2O4
_space_group_name_H-M_alt 'I 2 2 2'
_space_group_IT_number 23
_cell_length_a 5.3410
_cell_length_b 5.7804
_cell_length_c 7.3873
_cell_angle_alpha 90.00
_cell_angle_beta 90.00
_cell_angle_gamma 90.00
loop_
_space_group_symop_operation_xyz
'x,y,z'
'-x,-y,z'
'x,-y,-z'
'-x,y,-z'
'x+1/2,y+1/2,z+1/2'
'-x+1/2,-y+1/2,z+1/2'
'x+1/2,-y+1/2,-z+1/2'
'-x+1/2,y+1/2,-z+1/2'
loop_
_atom_site_label
_atom_site_type_symbol
_atom_site_fract_x
_atom_site_fract_y
_atom_site_fract_z
Ba1 Ba 0.0000 0.0000 0.0000
Cu1 Cu 0.0000 0.0000 0.5000
Pd1 Pd 0.0000 0.5000 0.2352
O1 O 0.1800 0.1950 0.3154
# uncorrected energy: -5.438 eV/atom
# total moment: 1.1 μB/f.u.

***

[5]
# K4ZnBr (GGA-PBE, optimized geometry)
data_K4ZnBr
_space_group_name_H-M_alt 'F -4 3 m'
_space_group_IT_number 216
_space_group_name_Hall 'F -4 2 3'
_cell_length_a 11.2160
_cell_length_b 11.2160
_cell_length_c 11.2160
_cell_angle_alpha 90.00
_cell_angle_beta 90.00
_cell_angle_gamma 90.00
loop_
_atom_site_label
_atom_site_type_symbol
_atom_site_fract_x
_atom_site_fract_y
_atom_site_fract_z
K1 K 0.1243 0.1243 0.3757
Zn1 Zn 0.0000 0.0000 0.0000
Br1 Br 0.2500 0.2500 0.7500
# uncorrected energy: -1.306 eV/atom
# total moment: 0.0 μB/f.u.

***

[6]
# Sr2VIr (GGA-PBE, optimized geometry)
data_Sr2VIr
_space_group_name_H-M_alt 'I -4 2 d'
_space_group_IT_number 122
_space_group_name_Hall 'I -4 2bw'
_cell_length_a 11.3328
_cell_length_b 11.3328
_cell_length_c 4.7287
_cell_angle_alpha 90.00
_cell_angle_beta 90.00
_cell_angle_gamma 90.00
loop_
_atom_site_label
_atom_site_type_symbol
_atom_site_fract_x
_atom_site_fract_y
_atom_site_fract_z
Sr1 Sr 0.0771 0.2500 0.1250
V1 V 0.0000 0.0000 0.5000
Ir1 Ir 0.0000 0.0000 0.0000
# uncorrected energy: -5.030 eV/atom
# total moment: 3.2 μB/f.u.
# distance to the lowest polymorph of the same formula: 0.00 kcal/mol of atoms